Entry 1:
SrZrSi2: relaxed, PBE-GGA.

- final energy (eV per atom) = -5.263
- polymorph energy (0 for the lowest one) (meV/atom) = 435
- Fermi-level density of states (states/eV/atom) = 0.5014
- formation energy without anion corrections (meV per atom) = 5.9
- crystal system = tetragonal

abc: 5.8579 5.8579 5.8579
angles: 138.36 138.36 60.35
Closest atoms and distances in Å follow each position.
Atoms (fractional coordinates):
Si: 0.0000 0.0000 0.0000  4 Sr 2.94, 4 Zr 3.28, 4 Si 3.28
Si: 0.2500 0.7500 0.5000  4 Zr 2.94, 4 Sr 3.28, 4 Si 3.28
Sr: 0.5000 0.5000 0.0000  8 Si 2.94-3.28, 4 Zr 3.28
Zr: 0.7500 0.2500 0.5000  8 Si 2.94-3.28, 4 Sr 3.28


Entry 2:
Sc3TiIn3S8: relaxed, PBE-GGA.

- final energy (eV per atom) = -5.847
- Fermi-level density of states (states/eV/atom) = 0.0311
- formation energy without anion corrections (meV per atom) = -1305.4
- crystal system = trigonal

abc: 7.3686 7.3694 8.5468
angles: 115.53 90.00 120.00
Closest atoms and distances in Å follow each position.
Atoms (fractional coordinates):
Sc: 0.5000 0.0000 0.5000  6 S 2.57-2.60
Sc: 0.5000 0.5000 0.5000  6 S 2.57-2.60
Sc: 0.0000 0.5000 0.5000  6 S 2.57-2.60
Ti: 0.0000 0.0000 0.5000  6 S 2.48
In: 0.0000 0.0000 0.0000  6 S 3.09-3.11
In: 0.0000 0.5000 0.0000  6 S 3.09-3.11
In: 0.5000 0.5000 0.0000  6 S 3.09-3.11
S: 0.2687 0.5373 0.3059  3 Sc 2.57
S: 0.7313 0.4627 0.6941  3 Sc 2.57
S: 0.7770 0.5541 0.3086  1 Ti 2.48, 2 Sc 2.60
S: 0.2230 0.4459 0.6914  1 Ti 2.48, 2 Sc 2.60
S: 0.7772 0.0316 0.3086  1 Ti 2.48, 2 Sc 2.60
S: 0.2228 0.9684 0.6914  1 Ti 2.48, 2 Sc 2.60
S: 0.2544 0.0316 0.3086  1 Ti 2.48, 2 Sc 2.60
S: 0.7456 0.9684 0.6914  1 Ti 2.48, 2 Sc 2.60


Entry 3:
BaIn5: relaxed, PBE-GGA.

- final energy (eV per atom) = -2.822
- formation energy from the elements (eV per atom) = -0.219
- Fermi-level density of states (states/eV/atom) = 0.3671
- crystal system = orthorhombic

abc: 7.8509 7.8509 4.9585
angles: 90.00 90.00 142.87
Closest atoms and distances in Å follow each position.
Atoms (fractional coordinates):
Ba: 0.9820 0.0180 0.0000  12 In 3.59-3.72
In: 0.2966 0.7034 0.0000  10 In 3.21-3.52
In: 0.6593 0.3407 0.0000  8 In 3.23-3.52
In: 0.4358 0.5642 0.5000  4 In 3.21-3.23, 4 Ba 3.59
In: 0.8000 0.2000 0.5000  10 In 3.21-3.52
In: 0.1596 0.8404 0.5000  8 In 3.21-3.52


Entry 4:
PrH4Ir: relaxed, PBE-GGA.

- final energy (eV per atom) = -4.968
- polymorph energy (0 for the lowest one) (meV/atom) = 32
- Fermi-level density of states (states/eV/atom) = 0.2264
- crystal system = orthorhombic

abc: 3.9055 5.0673 6.4558
angles: 90.00 107.61 90.00
Closest atoms and distances in Å follow each position.
Atoms (fractional coordinates):
Pr: 0.3703 0.7500 0.7407  8 H 2.45-2.56
Pr: 0.6297 0.2500 0.2593  8 H 2.45-2.56
H: 0.1944 0.4955 0.3889  1 Ir 1.70
H: 0.8056 0.5045 0.6111  1 Ir 1.70
H: 0.1944 0.0045 0.3889  1 Ir 1.70
H: 0.8056 0.9955 0.6111  1 Ir 1.70
H: 0.6007 0.7500 0.2014  2 Ir 1.95
H: 0.3993 0.2500 0.7986  2 Ir 1.95
H: 0.0000 0.5000 0.0000  2 Ir 1.80
H: 0.0000 0.0000 0.0000  2 Ir 1.80
Ir: 0.1040 0.7500 0.2079  4 H 1.70-1.80
Ir: 0.8960 0.2500 0.7921  4 H 1.70-1.80


- Look up the final energy of the first one.
  -5.263 eV per atom


- Number 3 is which compound?
  BaIn5